10
Lattice="-5.881 0.660 -2.298 1.380 -5.195 -3.380 0.742 -0.187 5.996" Properties=species:S:1:pos:R:3 comment="PBE+U Cs2ZnCrF6, optimized geometry" mass_density_g_cm3=4.813 magmom_total_mub_per_fu=4.000 space_group="I4/mmm (139)" dft_energy_ev_per_atom=-4.765 pbc="T T T"
F -0.436 -1.377 4.507
F -0.789 -1.287 1.651
F -3.635 -0.741 3.472
F 0.619 -4.172 2.838
F -2.969 -3.438 -1.337
F -2.580 -3.536 1.803
Zn -5.139 0.471 3.696
Cs -0.064 -3.827 -0.114
Cs -3.694 -0.899 0.426
Cr -1.508 -2.457 3.155